# Co4Si5, optimized geometry, DFT PBE-GGA
# formation energy from raw total energies = -5.0 kcal/mol of atoms
data_Co4Si5
_chemical_formula_sum 'Co8 Si10'
_space_group_name_H-M_alt 'P 63/m c m'
_space_group_IT_number 193
_space_group_name_Hall '-P 6c 2'
_cell_length_a 6.9981
_cell_length_b 6.9981
_cell_length_c 4.8142
_cell_angle_alpha 90.00
_cell_angle_beta 90.00
_cell_angle_gamma 120.00
loop_
_atom_site_label
_atom_site_type_symbol
_atom_site_fract_x
_atom_site_fract_y
_atom_site_fract_z
_atom_site_occupancy
Co1 Co 0.0000 0.0000 0.0000 1
Co2 Co 0.0000 0.3949 0.2500 1
Si1 Si 0.0000 0.2831 0.7500 1
Si2 Si 0.3333 0.6667 0.0000 1

# Co3Si, optimized geometry, DFT PBE-GGA
# formation energy from raw total energies = -6.3 kcal/mol of atoms
data_Co3Si
_chemical_formula_sum 'Co6 Si2'
_space_group_name_H-M_alt 'P 63/m m c'
_space_group_IT_number 194
_space_group_name_Hall '-P 6c 2c'
_cell_length_a 4.9506
_cell_length_b 4.9506
_cell_length_c 3.9517
_cell_angle_alpha 90.00
_cell_angle_beta 90.00
_cell_angle_gamma 120.00
loop_
_atom_site_label
_atom_site_type_symbol
_atom_site_fract_x
_atom_site_fract_y
_atom_site_fract_z
_atom_site_occupancy
Co1 Co 0.1666 0.3332 0.2500 1
Si1 Si 0.3333 0.6667 0.7500 1

# Co5Si, optimized geometry, DFT PBE-GGA
# formation energy from raw total energies = -3.2 kcal/mol of atoms
data_Co5Si
_chemical_formula_sum 'Co10 Si2'
_space_group_name_H-M_alt 'C 1 m 1'
_space_group_IT_number 8
_space_group_name_Hall 'C -2y'
_cell_length_a 9.073
_cell_length_b 2.563
_cell_length_c 5.781
_cell_angle_alpha 90.00
_cell_angle_beta 105.42
_cell_angle_gamma 90.00
loop_
_atom_site_label
_atom_site_type_symbol
_atom_site_fract_x
_atom_site_fract_y
_atom_site_fract_z
_atom_site_occupancy
Co1 Co 0.000 0.000 0.000 1
Co2 Co 0.047 0.000 0.602 1
Co3 Co 0.162 0.500 0.332 1
Co4 Co 0.329 0.000 0.665 1
Co5 Co 0.381 0.000 0.265 1
Si1 Si 0.214 0.500 0.929 1

# Co5Si, optimized geometry, DFT PBE-GGA
# formation energy from raw total energies = -3.4 kcal/mol of atoms
data_Co5Si
_chemical_formula_sum 'Co10 Si2'
_space_group_name_H-M_alt 'A m m 2'
_space_group_IT_number 38
_space_group_name_Hall 'A 2 -2'
_cell_length_a 3.977
_cell_length_b 2.554
_cell_length_c 12.763
_cell_angle_alpha 90.00
_cell_angle_beta 90.00
_cell_angle_gamma 90.00
loop_
_atom_site_label
_atom_site_type_symbol
_atom_site_fract_x
_atom_site_fract_y
_atom_site_fract_z
_atom_site_occupancy
Co1 Co 0.000 0.000 0.000 1
Co2 Co 0.000 0.000 0.332 1
Co3 Co 0.000 0.000 0.666 1
Co4 Co 0.500 0.000 0.218 1
Co5 Co 0.500 0.000 0.884 1
Si1 Si 0.500 0.000 0.548 1

# Co3Si2, optimized geometry, DFT PBE-GGA
# formation energy from raw total energies = -5.5 kcal/mol of atoms
data_Co3Si2
_chemical_formula_sum 'Co9 Si6'
_space_group_name_H-M_alt 'R -3 m'
_space_group_IT_number 166
_space_group_name_Hall '-R 3 2"'
_cell_length_a 2.6135
_cell_length_b 2.6135
_cell_length_c 27.9056
_cell_angle_alpha 90.00
_cell_angle_beta 90.00
_cell_angle_gamma 120.00
loop_
_atom_site_label
_atom_site_type_symbol
_atom_site_fract_x
_atom_site_fract_y
_atom_site_fract_z
_atom_site_occupancy
Co1 Co 0.0000 0.0000 0.0000 1
Co2 Co 0.0000 0.0000 0.2026 1
Si1 Si 0.0000 0.0000 0.3989 1

# Co5Si4, optimized geometry, DFT PBE-GGA
# formation energy from raw total energies = -6.0 kcal/mol of atoms
data_Co5Si4
_chemical_formula_sum 'Co10 Si8'
_space_group_name_H-M_alt 'I 4/m m m'
_space_group_IT_number 139
_space_group_name_Hall '-I 4 2'
_cell_length_a 7.466
_cell_length_b 7.466
_cell_length_c 3.579
_cell_angle_alpha 90.00
_cell_angle_beta 90.00
_cell_angle_gamma 90.00
loop_
_atom_site_label
_atom_site_type_symbol
_atom_site_fract_x
_atom_site_fract_y
_atom_site_fract_z
_atom_site_occupancy
Co1 Co 0.000 0.000 0.000 1
Co2 Co 0.170 0.170 0.500 1
Si1 Si 0.000 0.306 0.000 1

# Co3Si5, optimized geometry, DFT PBE-GGA
# formation energy from raw total energies = -2.9 kcal/mol of atoms
data_Co3Si5
_chemical_formula_sum 'Co6 Si10'
_space_group_name_H-M_alt 'P 63/m c m'
_space_group_IT_number 193
_space_group_name_Hall '-P 6c 2'
_cell_length_a 6.8939
_cell_length_b 6.8939
_cell_length_c 4.6810
_cell_angle_alpha 90.00
_cell_angle_beta 90.00
_cell_angle_gamma 120.00
loop_
_atom_site_label
_atom_site_type_symbol
_atom_site_fract_x
_atom_site_fract_y
_atom_site_fract_z
_atom_site_occupancy
Co1 Co 0.0000 0.3853 0.2500 1
Si1 Si 0.0000 0.2649 0.7500 1
Si2 Si 0.3333 0.6667 0.0000 1

# CoSi, optimized geometry, DFT PBE-GGA
# formation energy from raw total energies = -11.0 kcal/mol of atoms
data_CoSi
_chemical_formula_sum 'Co6 Si6'
_space_group_name_H-M_alt 'C 1 m 1'
_space_group_IT_number 8
_space_group_name_Hall 'C -2y'
_cell_length_a 8.386
_cell_length_b 2.692
_cell_length_c 6.215
_cell_angle_alpha 90.00
_cell_angle_beta 109.14
_cell_angle_gamma 90.00
loop_
_atom_site_label
_atom_site_type_symbol
_atom_site_fract_x
_atom_site_fract_y
_atom_site_fract_z
_atom_site_occupancy
Co1 Co 0.000 0.000 0.000 1
Co2 Co 0.069 0.000 0.610 1
Co3 Co 0.237 0.500 0.348 1
Si1 Si 0.208 0.500 0.935 1
Si2 Si 0.358 0.000 0.678 1
Si3 Si 0.447 0.000 0.284 1

# CoSi7, optimized geometry, DFT PBE-GGA
# formation energy from raw total energies = 8.7 kcal/mol of atoms
data_CoSi7
_chemical_formula_sum 'Co4 Si28'
_space_group_name_H-M_alt 'F m -3 m'
_space_group_IT_number 225
_space_group_name_Hall '-F 4 2 3'
_cell_length_a 7.529
_cell_length_b 7.529
_cell_length_c 7.529
_cell_angle_alpha 90.00
_cell_angle_beta 90.00
_cell_angle_gamma 90.00
loop_
_atom_site_label
_atom_site_type_symbol
_atom_site_fract_x
_atom_site_fract_y
_atom_site_fract_z
_atom_site_occupancy
Co1 Co 0.000 0.000 0.000 1
Si1 Si 0.000 0.000 0.500 1
Si2 Si 0.000 0.250 0.250 1

# Co5Si, optimized geometry, DFT PBE-GGA
# formation energy from raw total energies = -3.7 kcal/mol of atoms
data_Co5Si
_chemical_formula_sum 'Co10 Si2'
_space_group_name_H-M_alt 'C m m m'
_space_group_IT_number 65
_space_group_name_Hall '-C 2 2'
_cell_length_a 3.523
_cell_length_b 10.505
_cell_length_c 3.500
_cell_angle_alpha 90.00
_cell_angle_beta 90.00
_cell_angle_gamma 90.00
loop_
_atom_site_label
_atom_site_type_symbol
_atom_site_fract_x
_atom_site_fract_y
_atom_site_fract_z
_atom_site_occupancy
Co1 Co 0.000 0.000 0.000 1
Co2 Co 0.000 0.170 0.500 1
Co3 Co 0.000 0.332 0.000 1
Si1 Si 0.000 0.500 0.500 1

# Co4Si3, optimized geometry, DFT PBE-GGA
# formation energy from raw total energies = -6.5 kcal/mol of atoms
data_Co4Si3
_chemical_formula_sum 'Co8 Si6'
_space_group_name_H-M_alt 'I 4/m m m'
_space_group_IT_number 139
_space_group_name_Hall '-I 4 2'
_cell_length_a 2.954
_cell_length_b 2.954
_cell_length_c 17.962
_cell_angle_alpha 90.00
_cell_angle_beta 90.00
_cell_angle_gamma 90.00
loop_
_atom_site_label
_atom_site_type_symbol
_atom_site_fract_x
_atom_site_fract_y
_atom_site_fract_z
_atom_site_occupancy
Co1 Co 0.000 0.000 0.068 1
Co2 Co 0.000 0.000 0.343 1
Si1 Si 0.000 0.000 0.208 1
Si2 Si 0.000 0.000 0.500 1

# CoSi5, optimized geometry, DFT PBE-GGA
# formation energy from raw total energies = 4.9 kcal/mol of atoms
data_CoSi5
_chemical_formula_sum 'Co2 Si10'
_space_group_name_H-M_alt 'A m m 2'
_space_group_IT_number 38
_space_group_name_Hall 'A 2 -2'
_cell_length_a 4.479
_cell_length_b 3.166
_cell_length_c 11.571
_cell_angle_alpha 90.00
_cell_angle_beta 90.00
_cell_angle_gamma 90.00
loop_
_atom_site_label
_atom_site_type_symbol
_atom_site_fract_x
_atom_site_fract_y
_atom_site_fract_z
_atom_site_occupancy
Co1 Co 0.000 0.000 0.000 1
Si1 Si 0.000 0.000 0.350 1
Si2 Si 0.000 0.000 0.662 1
Si3 Si 0.500 0.000 0.248 1
Si4 Si 0.500 0.000 0.572 1
Si5 Si 0.500 0.000 0.914 1